(1)
PBE-GGA La2Sm8Sc, relaxed; crystal system = monoclinic; M_tot = 0.00 μB/cell; energy above the most stable polymorph in this dataset = 122 meV/atom
1.0
8.311 -3.400 0.000
8.311 3.400 0.000
-1.482 0.000 6.634
La Sm Sc
2 8 1
direct
0.188 0.188 0.310 La
0.812 0.812 0.690 La
0.179 0.658 0.110 Sm
0.244 0.244 0.824 Sm
0.342 0.821 0.890 Sm
0.408 0.408 0.582 Sm
0.592 0.592 0.418 Sm
0.658 0.179 0.110 Sm
0.756 0.756 0.176 Sm
0.821 0.342 0.890 Sm
0.000 0.000 0.500 Sc

(2)
PBE-GGA La6SmSc, relaxed; final energy = -0.186 Ha/atom; crystal system = tetragonal; M_tot = 0.00 μB/cell
1.0
5.165 0.000 0.000
0.000 5.165 0.000
0.000 0.000 10.339
La Sm Sc
6 1 1
direct
0.000 0.000 0.000 La
0.000 0.000 0.500 La
0.000 0.500 0.245 La
0.000 0.500 0.755 La
0.500 0.000 0.245 La
0.500 0.000 0.755 La
0.500 0.500 0.500 Sm
0.500 0.500 0.000 Sc